Compound: Hg3SeF
Source: Alexandria
Functional: PBE
Structure: optimized geometry

Cell: 4.9863 4.9863 4.9863 Å, 90.00 90.00 90.00°
Positions (direct):
Hg1 0.0000 0.0000 0.5000
Hg2 0.0000 0.5000 0.0000
Hg3 0.5000 0.0000 0.0000
Se1 0.5000 0.5000 0.5000
F1 0.0000 0.0000 0.0000

**Mass density**: 9.4 g cm⁻³
**Formation energy from raw total energies**: -0.015 eV/atom
**DOS(E_F)**: 4.1 states/eV/f.u.
**Magnetic moment**: 0.00 μB/f.u.


Compound: HgSeF3
Source: Alexandria
Functional: PBE
Structure: optimized geometry

Cell: 4.5770 4.5770 4.5770 Å, 90.00 90.00 90.00°
Positions (direct):
Hg1 0.0000 0.0000 0.0000
Se1 0.5000 0.5000 0.5000
F1 0.0000 0.0000 0.5000
F2 0.0000 0.5000 0.0000
F3 0.5000 0.0000 0.0000

**Mass density**: 5.8 g cm⁻³
**Formation energy from raw total energies**: -0.666 eV/atom
**DOS(E_F)**: 1.4 states/eV/f.u.
**Magnetic moment**: 3.00 μB/f.u.